Entry 1:
A relaxed Li2Er2PaSe6 crystal. Source: Alexandria, functional PBE-GGA.

The calculation puts the total energy at -5.524 eV/atom. For the formation energy (no corrections), the calculation gives -17.41 eV/f.u.

The structure belongs to space group C2/m (No. 12); the cell edges are 7.0724, 12.2135 and 6.9177 Å and the angles 90.00°, 109.92° and 90.00°. The asymmetric unit holds Li at (0.0000, 0.1688, 0.0000), Er at (0.0000, 0.3344, 0.5000), Pa at (0.0000, 0.0000, 0.5000), Se at (0.2472, 0.0000, 0.2515) and Se at (0.2471, 0.1684, 0.7484).



Entry 2:
A relaxed Li2ErPaSe4 crystal. Source: Alexandria, functional PBE-GGA.

The calculation puts the total energy at -5.437 eV/atom. For the formation energy (no corrections), the calculation gives -11.67 eV/f.u.

The structure belongs to space group P2/m (No. 10); the cell edges are 6.9766, 3.9820 and 7.0141 Å and the angles 90.00°, 109.20° and 90.00°. The asymmetric unit holds Li at (0.0000, 0.0000, 0.0000), Li at (0.0000, 0.5000, 0.5000), Er at (0.5000, 0.0000, 0.5000), Pa at (0.5000, 0.5000, 0.0000), Se at (0.2382, 0.0000, 0.7406) and Se at (0.2446, 0.5000, 0.2501).



Entry 3:
A relaxed LiEr3Pa3Se8 crystal. Source: Alexandria, functional PBE-GGA.

The calculation puts the total energy at -6.293 eV/atom. For the formation energy (no corrections), the calculation gives -22.43 eV/f.u.

The structure belongs to space group R-3m (No. 166, hexagonal axes); the cell edges are 8.0094, 8.0094 and 20.1314 Å and the angles 90.00°, 90.00° and 120.00°. The asymmetric unit holds Li at (0.0000, 0.0000, 0.0000), Er at (0.0000, 0.5000, 0.5000), Pa at (0.0000, 0.5000, 0.0000), Se at (0.0000, 0.0000, 0.2468) and Se at (0.0051, 0.5025, 0.7505).



Entry 4:
A relaxed Li4ErPa3Se8 crystal. Source: Alexandria, functional PBE-GGA.

The calculation puts the total energy at -5.648 eV/atom. For the formation energy (no corrections), the calculation gives -21.79 eV/f.u.

The structure belongs to space group R-3m (No. 166, hexagonal axes); the cell edges are 7.9888, 7.9888 and 20.0460 Å and the angles 90.00°, 90.00° and 120.00°. The asymmetric unit holds Li at (0.0000, 0.0000, 0.0000), Li at (0.0000, 0.5000, 0.0000), Er at (0.0000, 0.0000, 0.5000), Pa at (0.0000, 0.5000, 0.5000), Se at (0.0000, 0.0000, 0.2556) and Se at (0.0044, 0.5022, 0.2533).



Entry 5:
A relaxed Li4Er3PaSe8 crystal. Source: Alexandria, functional PBE-GGA.

The calculation puts the total energy at -5.236 eV/atom. For the formation energy (no corrections), the calculation gives -25.06 eV/f.u.

The structure belongs to space group R-3m (No. 166, hexagonal axes); the cell edges are 8.0721, 8.0721 and 19.5473 Å and the angles 90.00°, 90.00° and 120.00°. The asymmetric unit holds Li at (0.0000, 0.0000, 0.0000), Li at (0.0000, 0.5000, 0.0000), Er at (0.0000, 0.5000, 0.5000), Pa at (0.0000, 0.0000, 0.5000), Se at (0.0000, 0.0000, 0.2507) and Se at (0.0027, 0.5013, 0.7479).



Entry 6:
A relaxed LiEr2PaSe6 crystal. Source: Alexandria, functional PBE-GGA.

The calculation puts the total energy at -5.305 eV/atom. For the formation energy (no corrections), the calculation gives -11.61 eV/f.u.

The structure belongs to space group P4mm (No. 99); the cell edges are 6.7096, 6.7096 and 6.6576 Å and the angles 90.00°, 90.00° and 90.00°. The asymmetric unit holds Li at (0.0000, 0.0000, 0.0000), Er at (0.0000, 0.5000, 0.4430), Pa at (0.5000, 0.5000, 0.0545), Se at (0.0000, 0.0000, 0.6325), Se at (0.2389, 0.2389, 0.2104) and Se at (0.5000, 0.5000, 0.6390).



Entry 7:
A relaxed LiErPaSe4 crystal. Source: Alexandria, functional PBE-GGA.

The calculation puts the total energy at -5.800 eV/atom. For the formation energy (no corrections), the calculation gives -10.69 eV/f.u.

The structure belongs to space group Imma (No. 74); the cell edges are 8.2074, 8.3864 and 11.6663 Å and the angles 90.00°, 90.00° and 90.00°. The asymmetric unit holds Li at (0.0000, 0.2500, 0.1329), Er at (0.2500, 0.2500, 0.7500), Pa at (0.0000, 0.0000, 0.5000), Se at (0.0000, 0.0138, 0.7439) and Se at (0.2400, 0.2500, 0.5049).



Entry 8:
A relaxed LiErPaTc crystal. Source: Alexandria, functional PBE-GGA.

The calculation puts the total energy at -6.555 eV/atom. As for the energy of formation from the pure elements: 0.03 eV/atom.

The structure belongs to space group F-43m (No. 216); the cell edges are 6.9152, 6.9152 and 6.9152 Å and the angles 90.00°, 90.00° and 90.00°. The asymmetric unit holds Li at (0.0000, 0.0000, 0.0000), Er at (0.2500, 0.2500, 0.2500), Pa at (0.2500, 0.2500, 0.7500) and Tc at (0.0000, 0.0000, 0.5000).



Entry 9:
A relaxed Li3Er2PaTe6 crystal. Source: Alexandria, functional PBE-GGA.

The calculation puts the total energy at -4.712 eV/atom. For the formation energy (no corrections), the calculation gives -13.32 eV/f.u.

The structure belongs to space group C2/m (No. 12); the cell edges are 7.4344, 12.8770 and 7.5315 Å and the angles 90.00°, 109.20° and 90.00°. The asymmetric unit holds Li at (0.0000, 0.0000, 0.0000), Li at (0.0000, 0.3334, 0.0000), Er at (0.0000, 0.1666, 0.5000), Pa at (0.0000, 0.5000, 0.5000), Te at (0.2457, 0.1684, 0.2421) and Te at (0.2493, 0.0000, 0.7580).



Entry 10:
A relaxed Li3ErPb6 crystal. Source: Alexandria, functional PBE-GGA.

The calculation puts the total energy at -3.481 eV/atom. As for the energy of formation from the pure elements: -0.23 eV/atom.

The structure belongs to space group P2_1/m (No. 11); the cell edges are 9.7293, 4.8896 and 10.9366 Å and the angles 90.00°, 97.72° and 90.00°. The asymmetric unit holds Li at (0.0653, 0.2500, 0.4113), Li at (0.1676, 0.7500, 0.1853), Li at (0.2437, 0.2500, 0.9755), Er at (0.4308, 0.2500, 0.6086), Pb at (0.0202, 0.7500, 0.8902), Pb at (0.0990, 0.2500, 0.6933), Pb at (0.2345, 0.7500, 0.4796), Pb at (0.3258, 0.7500, 0.7957), Pb at (0.3395, 0.2500, 0.2938) and Pb at (0.4458, 0.7500, 0.0918).



Entry 11:
A relaxed Li4ErPb5 crystal. Source: Alexandria, functional PBE-GGA.

The calculation puts the total energy at -3.365 eV/atom. As for the energy of formation from the pure elements: -0.29 eV/atom.

The structure belongs to space group P4/mmm (No. 123); the cell edges are 3.5778, 3.5778 and 18.5017 Å and the angles 90.00°, 90.00° and 90.00°. The asymmetric unit holds Li at (0.0000, 0.0000, 0.0952), Li at (0.0000, 0.0000, 0.2875), Er at (0.0000, 0.0000, 0.5000), Pb at (0.5000, 0.5000, 0.0000), Pb at (0.5000, 0.5000, 0.1919) and Pb at (0.5000, 0.5000, 0.3824).



Entry 12:
A relaxed LiErPb2 crystal. Source: Alexandria, functional PBE-GGA.

The calculation puts the total energy at -3.614 eV/atom. As for the energy of formation from the pure elements: -0.14 eV/atom.

The structure belongs to space group R3m (No. 160, hexagonal axes); the cell edges are 4.4724, 4.4724 and 19.8468 Å and the angles 90.00°, 90.00° and 120.00°. The asymmetric unit holds Li at (0.0000, 0.0000, 0.0000), Er at (0.0000, 0.0000, 0.1833), Pb at (0.0000, 0.0000, 0.6013) and Pb at (0.0000, 0.0000, 0.7510).